1.
The following is a DFT calculation (GGA-PBE) of a geometry-optimized LaEuErAl structure.

## Properties
The density of states at the Fermi level comes out at 1.34 states/eV/atom. For the formation energy, the calculation gives -0.0418 eV/atom. As for the spin magnetization: 30.3 μB per cell.

a = 7.769 Å, b = 7.769 Å, c = 7.769 Å
α = 90.00°, β = 90.00°, γ = 90.00°
Space group F-43m (No. 216)
Unique sites:
La 0.000 0.000 0.000
Eu 0.250 0.250 0.250
Er 0.000 0.000 0.500
Al 0.250 0.250 0.750

2.
The following is a DFT calculation (GGA-PBE) of a geometry-optimized LiEuErAl structure.

## Properties
The density of states at the Fermi level comes out at 1.60 states/eV/atom. For the formation energy, the calculation gives -0.1146 eV/atom. As for the spin magnetization: 28.7 μB per cell.

a = 7.452 Å, b = 7.452 Å, c = 7.452 Å
α = 90.00°, β = 90.00°, γ = 90.00°
Space group F-43m (No. 216)
Unique sites:
Li 0.000 0.000 0.000
Eu 0.250 0.250 0.750
Er 0.250 0.250 0.250
Al 0.000 0.000 0.500

3.
The following is a DFT calculation (GGA-PBE) of a geometry-optimized EuErLuAl structure.

## Properties
The density of states at the Fermi level comes out at 1.06 states/eV/atom. For the formation energy, the calculation gives -0.0021 eV/atom. As for the spin magnetization: 28.6 μB per cell.

a = 7.559 Å, b = 7.559 Å, c = 7.559 Å
α = 90.00°, β = 90.00°, γ = 90.00°
Space group F-43m (No. 216)
Unique sites:
Eu 0.000 0.000 0.000
Er 0.250 0.250 0.250
Lu 0.250 0.250 0.750
Al 0.000 0.000 0.500

4.
The following is a DFT calculation (GGA-PBE) of a geometry-optimized EuErMgAl structure.

## Properties
The density of states at the Fermi level comes out at 1.31 states/eV/atom. For the formation energy, the calculation gives -0.1850 eV/atom. As for the spin magnetization: 29.3 μB per cell.

a = 7.508 Å, b = 7.508 Å, c = 7.508 Å
α = 90.00°, β = 90.00°, γ = 90.00°
Space group F-43m (No. 216)
Unique sites:
Eu 0.000 0.000 0.000
Er 0.000 0.000 0.500
Mg 0.250 0.250 0.750
Al 0.250 0.250 0.250

5.
The following is a DFT calculation (GGA-PBE) of a geometry-optimized NdEuErAl structure.

## Properties
The density of states at the Fermi level comes out at 1.23 states/eV/atom. For the formation energy, the calculation gives -0.0294 eV/atom. As for the spin magnetization: 29.6 μB per cell.

a = 7.712 Å, b = 7.712 Å, c = 7.712 Å
α = 90.00°, β = 90.00°, γ = 90.00°
Space group F-43m (No. 216)
Unique sites:
Nd 0.000 0.000 0.000
Eu 0.250 0.250 0.250
Er 0.000 0.000 0.500
Al 0.250 0.250 0.750

6.
The following is a DFT calculation (GGA-PBE) of a geometry-optimized PrEuErAl structure.

## Properties
The density of states at the Fermi level comes out at 1.25 states/eV/atom. For the formation energy, the calculation gives -0.0286 eV/atom. As for the spin magnetization: 29.6 μB per cell.

a = 7.738 Å, b = 7.738 Å, c = 7.738 Å
α = 90.00°, β = 90.00°, γ = 90.00°
Space group F-43m (No. 216)
Unique sites:
Pr 0.000 0.000 0.000
Eu 0.250 0.250 0.750
Er 0.000 0.000 0.500
Al 0.250 0.250 0.250

7.
The following is a DFT calculation (GGA-PBE) of a geometry-optimized EuErScAl structure.

## Properties
The density of states at the Fermi level comes out at 1.39 states/eV/atom. For the formation energy, the calculation gives -0.0036 eV/atom. As for the spin magnetization: 29.5 μB per cell.

a = 7.429 Å, b = 7.429 Å, c = 7.429 Å
α = 90.00°, β = 90.00°, γ = 90.00°
Space group F-43m (No. 216)
Unique sites:
Eu 0.000 0.000 0.000
Er 0.250 0.250 0.750
Sc 0.250 0.250 0.250
Al 0.000 0.000 0.500

8.
The following is a DFT calculation (GGA-PBE) of a geometry-optimized TbEuErAl structure.

## Properties
The density of states at the Fermi level comes out at 1.05 states/eV/atom. For the formation energy, the calculation gives -0.0234 eV/atom. As for the spin magnetization: 29.4 μB per cell.

a = 7.626 Å, b = 7.626 Å, c = 7.626 Å
α = 90.00°, β = 90.00°, γ = 90.00°
Space group F-43m (No. 216)
Unique sites:
Tb 0.000 0.000 0.000
Eu 0.250 0.250 0.750
Er 0.000 0.000 0.500
Al 0.250 0.250 0.250